DFT (PBE-GGA) results for an optimized crystal structure of Sr2Tl3In2.

```
Sr2Tl3In2
1.0
5.0054 0.0000 0.0000
-2.5027 6.0331 0.1776
0.0000 -1.1565 7.4300
In Tl Sr
2 3 2
direct
0.9022 0.8044 0.3603
0.0978 0.1956 0.6397
0.0000 0.0000 0.0000
0.7029 0.4057 0.8494
0.2971 0.5943 0.1506
0.3856 0.7712 0.6913
0.6144 0.2288 0.3087
```

Summary:
- V (Å³ per cell) = 225.4
- formation energy (eV per atom) = -0.28
- calculated total energy (eV/atom) = -2.558
- magnetic moment (μB per atom) = 0.00



DFT (PBE-GGA) results for an optimized crystal structure of LiLaY.

```
LiLaY
1.0
3.5715 0.0000 0.0000
-1.7858 3.0930 0.0000
0.0000 0.0000 8.4838
Y La Li
1 1 1
direct
0.3333 0.6667 0.6575
0.0000 0.0000 0.0030
0.6667 0.3333 0.3395
```

Summary:
- V (Å³ per cell) = 93.7
- formation energy (eV per atom) = 0.11
- calculated total energy (eV/atom) = -4.327
- magnetic moment (μB per atom) = 0.00
- energy relative to the lowest polymorph listed for this composition (meV per atom) = 52



DFT (PBE-GGA) results for an optimized crystal structure of LiSb2As.

```
LiSb2As
1.0
3.8475 0.0000 0.0000
1.9237 3.3320 0.0000
1.9237 1.1107 7.7216
Sb As Li
2 1 1
direct
0.2557 0.2557 0.2328
0.0785 0.0785 0.7646
0.6656 0.6656 0.0033
0.5003 0.5003 0.4992
```

Summary:
- V (Å³ per cell) = 99.0
- calculated total energy (eV/atom) = -3.734
- magnetic moment (μB per atom) = 0.00



DFT (PBE-GGA) results for an optimized crystal structure of AcLuAu2.

```
AcLuAu2
1.0
3.8857 0.0000 0.0000
1.9428 3.3651 0.0000
1.9428 1.1217 9.7001
Au Lu Ac
2 1 1
direct
0.8936 0.8936 0.3193
0.1064 0.1064 0.6807
0.5000 0.5000 0.5000
0.0000 0.0000 0.0000
```

Summary:
- V (Å³ per cell) = 126.8
- formation energy (eV per atom) = -0.31
- calculated total energy (eV/atom) = -4.109
- magnetic moment (μB per atom) = 0.00
- energy relative to the lowest polymorph listed for this composition (meV per atom) = 499



DFT (PBE-GGA) results for an optimized crystal structure of Sr5Li.

```
Sr5Li
1.0
4.4144 0.0000 0.0000
0.0000 6.7514 0.0000
0.0000 -3.3757 9.9919
Sr Li
5 1
direct
0.5000 0.5000 0.0000
0.5000 0.1397 0.2795
0.0000 0.3199 0.6399
0.5000 0.8603 0.7205
0.0000 0.6801 0.3601
0.0000 0.0000 0.0000
```

Summary:
- V (Å³ per cell) = 297.8
- formation energy (eV per atom) = 0.03
- calculated total energy (eV/atom) = -1.690
- magnetic moment (μB per atom) = 0.00
- energy relative to the lowest polymorph listed for this composition (meV per atom) = 7



DFT (PBE-GGA) results for an optimized crystal structure of Y4B2Cl5.

```
Y4B2Cl5
1.0
3.7593 0.0000 -0.6483
-0.4836 7.0437 -2.8043
-0.1548 0.0037 10.3258
Y Cl B
4 5 2
direct
0.6638 0.6638 0.3275
0.0000 0.7116 0.0000
0.0000 0.2884 0.0000
0.3362 0.3362 0.6725
0.8310 0.0750 0.6621
0.5000 0.0000 0.0000
0.1690 0.9250 0.3379
0.1690 0.4129 0.3379
0.8310 0.5871 0.6621
0.4582 0.4582 0.9164
0.5418 0.5418 0.0836
```

Summary:
- V (Å³ per cell) = 272.8
- calculated total energy (eV/atom) = -5.870
- magnetic moment (μB per atom) = 0.00



DFT (PBE-GGA) results for an optimized crystal structure of Li3HPt.

```
Li3HPt
1.0
-0.5249 0.3824 3.7931
2.2922 -3.0278 0.6224
3.0462 2.3442 0.1852
Li H Pt
3 1 1
direct
0.0000 0.0000 0.5000
0.0000 0.5000 0.0000
0.5000 0.0000 0.0000
0.0000 0.0000 0.0000
0.5000 0.5000 0.5000
```

Summary:
- V (Å³ per cell) = 57.0
- calculated total energy (eV/atom) = -3.430
- magnetic moment (μB per atom) = 0.00
- energy relative to the lowest polymorph listed for this composition (meV per atom) = 10



DFT (PBE-GGA) results for an optimized crystal structure of Rb4AcLa3Se8.

```
Rb4AcLa3Se8
1.0
-0.9407 -1.0164 -8.9098
-3.0076 -8.9643 1.3401
-4.3611 6.6415 4.2653
Se La Rb Ac
8 3 4 1
direct
0.7281 0.7038 0.9662
0.7620 0.2962 0.5240
0.2381 0.7038 0.9662
0.2719 0.2962 0.0338
0.7335 0.7001 0.4670
0.2380 0.7038 0.4760
0.7619 0.2962 0.0338
0.2665 0.2999 0.5330
0.5000 0.5000 0.0000
0.0000 0.5000 0.5000
0.5000 0.5000 0.5000
0.5000 0.0000 0.5000
0.5000 0.0000 0.0000
0.0000 0.0000 0.5000
0.0000 0.0000 0.0000
0.0000 0.5000 0.0000
```

Summary:
- V (Å³ per cell) = 563.5
- calculated total energy (eV/atom) = -4.976
- magnetic moment (μB per atom) = 0.00



> Look up the magnetic moment of the third one.

0.00 μB per atom